# CaLaSc (PBE-GGA, relaxed)
data_CaLaSc
_chemical_formula_sum 'Ca6 La6 Sc6'
_space_group_name_H-M_alt 'R -3 m'
_space_group_IT_number 166
_space_group_name_Hall '-R 3 2"'
_cell_length_a 3.5903
_cell_length_b 3.5903
_cell_length_c 54.9261
_cell_angle_alpha 90.00
_cell_angle_beta 90.00
_cell_angle_gamma 120.00
loop_
_atom_site_label
_atom_site_type_symbol
_atom_site_fract_x
_atom_site_fract_y
_atom_site_fract_z
Ca1 Ca 0.0000 0.0000 0.1958
La1 La 0.0000 0.0000 0.2611
Sc1 Sc 0.0000 0.0000 0.3557
# Distance to the lowest polymorph of the same formula, meV per atom: 15